1.
Compound: Sr2Li2Y
Source: the Alexandria database
Functional: PBE
Structure: optimized geometry

```
data_Sr2Li2Y
_cell_length_a 8.859
_cell_length_b 8.859
_cell_length_c 4.603
_cell_angle_alpha 90.00
_cell_angle_beta 90.00
_cell_angle_gamma 90.00
_symmetry_space_group_name_H-M 'P 4/m b m'
_symmetry_Int_Tables_number 127
_symmetry_space_group_name_Hall '-P 4 2ab'
loop_
_atom_site_label
_atom_site_fract_x
_atom_site_fract_y
_atom_site_fract_z
Sr1 0.179 0.321 0.000
Li1 0.120 0.620 0.500
Y1 0.000 0.000 0.500
```

Results
* energy: -2.5670 eV/atom
* ΔE to the lowest computed polymorph: 0.000 eV/atom
* magnetic moment: 0.00 μB/cell
* ΔH_f (0 K): 0.164 eV per atom



2.
Compound: Li2CeCd3
Source: the Alexandria database
Functional: PBE
Structure: optimized geometry

```
data_Li2CeCd3
_cell_length_a 3.330
_cell_length_b 3.330
_cell_length_c 11.220
_cell_angle_alpha 90.00
_cell_angle_beta 90.00
_cell_angle_gamma 90.00
_symmetry_space_group_name_H-M 'P 4/m m m'
_symmetry_Int_Tables_number 123
_symmetry_space_group_name_Hall '-P 4 2'
loop_
_atom_site_label
_atom_site_fract_x
_atom_site_fract_y
_atom_site_fract_z
Li1 0.000 0.000 0.146
Ce1 0.000 0.000 0.500
Cd1 0.500 0.500 0.000
Cd2 0.500 0.500 0.288
```

Results
* energy: -2.3082 eV/atom
* ΔE to the lowest computed polymorph: 0.000 eV/atom
* magnetic moment: 0.75 μB/cell
* ΔH_f (0 K): -0.224 eV per atom



3.
Compound: Tl2GaH
Source: the Alexandria database
Functional: PBE
Structure: optimized geometry

```
data_Tl2GaH
_cell_length_a 5.475
_cell_length_b 5.475
_cell_length_c 13.301
_cell_angle_alpha 90.00
_cell_angle_beta 90.00
_cell_angle_gamma 90.00
_symmetry_space_group_name_H-M 'I -4 2 d'
_symmetry_Int_Tables_number 122
_symmetry_space_group_name_Hall 'I -4 2bw'
loop_
_atom_site_label
_atom_site_fract_x
_atom_site_fract_y
_atom_site_fract_z
Tl1 0.157 0.250 0.125
Ga1 0.000 0.000 0.500
H1 0.000 0.000 0.000
```

Results
* energy: -2.3732 eV/atom
* ΔE to the lowest computed polymorph: 0.000 eV/atom
* magnetic moment: 0.00 μB/cell



4.
Compound: LaHoIrI
Source: the Alexandria database
Functional: PBE
Structure: optimized geometry

```
data_LaHoIrI
_cell_length_a 4.1698
_cell_length_b 4.1698
_cell_length_c 24.3185
_cell_angle_alpha 90.00
_cell_angle_beta 90.00
_cell_angle_gamma 120.00
_symmetry_space_group_name_H-M 'R 3 m'
_symmetry_Int_Tables_number 160
_symmetry_space_group_name_Hall 'R 3 -2"'
loop_
_atom_site_label
_atom_site_fract_x
_atom_site_fract_y
_atom_site_fract_z
La1 0.0000 0.0000 0.0000
Ho1 0.0000 0.0000 0.2128
Ir1 0.0000 0.0000 0.6034
I1 0.0000 0.0000 0.7781
```

Results
* energy: -6.0001 eV/atom
* magnetic moment: 0.00 μB/cell



5.
Compound: Tb5Pr2Sm6
Source: the Alexandria database
Functional: PBE
Structure: optimized geometry

```
data_Tb5Pr2Sm6
_cell_length_a 11.842
_cell_length_b 20.537
_cell_length_c 3.639
_cell_angle_alpha 90.00
_cell_angle_beta 90.00
_cell_angle_gamma 90.00
_symmetry_space_group_name_H-M 'P b a m'
_symmetry_Int_Tables_number 55
loop_
_symmetry_equiv_pos_as_xyz
'x,y,z'
'-x,-y,-z'
'-x,-y,z'
'x,y,-z'
'x+1/2,-y+1/2,-z'
'-x+1/2,y+1/2,z'
'-x+1/2,y+1/2,-z'
'x+1/2,-y+1/2,z'
loop_
_atom_site_label
_atom_site_fract_x
_atom_site_fract_y
_atom_site_fract_z
Tb1 0.000 0.000 0.000
Tb2 0.091 0.278 0.000
Tb3 0.200 0.554 0.000
Pr1 0.169 0.716 0.500
Sm1 0.060 0.423 0.500
Sm2 0.078 0.135 0.500
Sm3 0.178 0.873 0.000
```

Results
* energy: -4.5964 eV/atom
* magnetic moment: 0.00 μB/cell
* ΔH_f (0 K): 0.098 eV per atom



What is the formula in the third record?
Tl2GaH